<a>
# PBE-GGA KAgI2O, optimized geometry
data_KAgI2O
_space_group_name_H-M_alt 'P 1'
_space_group_IT_number 1
_cell_length_a 6.4802
_cell_length_b 6.4802
_cell_length_c 5.0179
_cell_angle_alpha 90.00
_cell_angle_beta 90.00
_cell_angle_gamma 90.00
loop_
_space_group_symop_operation_xyz
'x,y,z'
loop_
_atom_site_label
_atom_site_type_symbol
_atom_site_fract_x
_atom_site_fract_y
_atom_site_fract_z
O1 O 0.0000 0.0000 0.5000
K1 K 0.0000 0.0000 0.0000
Ag1 Ag 0.5000 0.5000 0.5000
I1 I 0.0000 0.5000 0.0000
I2 I 0.5000 0.0000 0.0000
# * D(E_F): 5.08 states/eV per cell

---

<b>
# PBE-GGA KAgI2O, optimized geometry
data_KAgI2O
_space_group_name_H-M_alt 'P 1'
_space_group_IT_number 1
_cell_length_a 5.9603
_cell_length_b 5.9603
_cell_length_c 4.1788
_cell_angle_alpha 90.00
_cell_angle_beta 90.00
_cell_angle_gamma 90.00
loop_
_space_group_symop_operation_xyz
'x,y,z'
loop_
_atom_site_label
_atom_site_type_symbol
_atom_site_fract_x
_atom_site_fract_y
_atom_site_fract_z
K1 K 0.5000 0.5000 0.5000
Ag1 Ag 0.0000 0.0000 0.0000
O1 O 0.0000 0.0000 0.5000
I1 I 0.0000 0.5000 0.0000
I2 I 0.5000 0.0000 0.0000
# * D(E_F): 4.38 states/eV per cell

---

<c>
# PBE-GGA KAgI2O, optimized geometry
data_KAgI2O
_space_group_name_H-M_alt 'P 1'
_space_group_IT_number 1
_cell_length_a 6.4520
_cell_length_b 6.5624
_cell_length_c 6.4520
_cell_angle_alpha 90.00
_cell_angle_beta 90.00
_cell_angle_gamma 90.00
loop_
_space_group_symop_operation_xyz
'x,y,z'
loop_
_atom_site_label
_atom_site_type_symbol
_atom_site_fract_x
_atom_site_fract_y
_atom_site_fract_z
O1 O 0.5000 0.5000 0.5000
I1 I 0.0000 0.0000 0.5000
I2 I 0.5000 0.0000 0.0000
Ag1 Ag 0.0000 0.5000 0.0000
K1 K 0.0000 0.0000 0.0000
# * D(E_F): 11.30 states/eV per cell

---

Which of them is most stable? Easy: <b>.

---

<a>
# PBE-GGA K2PrAgI6, optimized geometry
data_K2PrAgI6
_space_group_name_H-M_alt 'P 1'
_space_group_IT_number 1
_cell_length_a 8.2328
_cell_length_b 8.7451
_cell_length_c 11.7294
_cell_angle_alpha 90.00
_cell_angle_beta 90.43
_cell_angle_gamma 90.00
loop_
_space_group_symop_operation_xyz
'x,y,z'
loop_
_atom_site_label
_atom_site_type_symbol
_atom_site_fract_x
_atom_site_fract_y
_atom_site_fract_z
I1 I 0.6132 0.0254 0.2573
I2 I 0.6888 0.3059 0.9463
I3 I 0.1132 0.4746 0.7573
I4 I 0.8112 0.8059 0.5537
I5 I 0.8868 0.5254 0.2427
I6 I 0.3868 0.9746 0.7427
I7 I 0.3115 0.6938 0.4434
I8 I 0.1885 0.1938 0.0566
I9 I 0.3112 0.6941 0.0537
I10 I 0.1888 0.1941 0.4463
I11 I 0.6885 0.3062 0.5566
I12 I 0.8115 0.8062 0.9434
Pr1 Pr 0.5000 0.0000 0.0000
Pr2 Pr 0.0000 0.5000 0.5000
K1 K 0.5321 0.5893 0.7467
K2 K 0.0321 0.9107 0.2467
K3 K 0.9679 0.0893 0.7533
K4 K 0.4679 0.4107 0.2533
Ag1 Ag 0.5000 0.0000 0.5000
Ag2 Ag 0.0000 0.5000 0.0000
# * D(E_F): 0.00 states/eV per cell

---

<b>
# PBE-GGA K2PrAgI6, optimized geometry
data_K2PrAgI6
_space_group_name_H-M_alt 'P 1'
_space_group_IT_number 1
_cell_length_a 8.6792
_cell_length_b 8.6792
_cell_length_c 8.6792
_cell_angle_alpha 60.00
_cell_angle_beta 60.00
_cell_angle_gamma 60.00
loop_
_space_group_symop_operation_xyz
'x,y,z'
loop_
_atom_site_label
_atom_site_type_symbol
_atom_site_fract_x
_atom_site_fract_y
_atom_site_fract_z
Ag1 Ag 0.0000 0.0000 0.0000
I1 I 0.2460 0.7540 0.7540
I2 I 0.2460 0.7540 0.2460
I3 I 0.7540 0.7540 0.2460
I4 I 0.7540 0.2460 0.7540
I5 I 0.7540 0.2460 0.2460
I6 I 0.2460 0.2460 0.7540
K1 K 0.2500 0.2500 0.2500
K2 K 0.7500 0.7500 0.7500
Pr1 Pr 0.5000 0.5000 0.5000
# * D(E_F): 0.00 states/eV per cell

---

Which of them is most stable? Easy: <a>.

---

<a>
# PBE-GGA KAgTe2I, optimized geometry
data_KAgTe2I
_space_group_name_H-M_alt 'P 1'
_space_group_IT_number 1
_cell_length_a 5.4789
_cell_length_b 5.4789
_cell_length_c 6.1943
_cell_angle_alpha 90.00
_cell_angle_beta 90.00
_cell_angle_gamma 90.00
loop_
_space_group_symop_operation_xyz
'x,y,z'
loop_
_atom_site_label
_atom_site_type_symbol
_atom_site_fract_x
_atom_site_fract_y
_atom_site_fract_z
Ag1 Ag 0.0000 0.0000 0.0000
Te1 Te 0.5000 0.0000 0.0000
Te2 Te 0.0000 0.5000 0.0000
I1 I 0.0000 0.0000 0.5000
K1 K 0.5000 0.5000 0.5000
# * D(E_F): 7.23 states/eV per cell

---

<b>
# PBE-GGA KAgTe2I, optimized geometry
data_KAgTe2I
_space_group_name_H-M_alt 'P 1'
_space_group_IT_number 1
_cell_length_a 6.4279
_cell_length_b 6.4279
_cell_length_c 6.3278
_cell_angle_alpha 90.00
_cell_angle_beta 90.00
_cell_angle_gamma 90.00
loop_
_space_group_symop_operation_xyz
'x,y,z'
loop_
_atom_site_label
_atom_site_type_symbol
_atom_site_fract_x
_atom_site_fract_y
_atom_site_fract_z
I1 I 0.0000 0.0000 0.5000
Ag1 Ag 0.5000 0.5000 0.5000
Te1 Te 0.0000 0.5000 0.0000
Te2 Te 0.5000 0.0000 0.0000
K1 K 0.0000 0.0000 0.0000
# * D(E_F): 4.21 states/eV per cell

---

Which of them is most stable? Easy: <a>.

---

<a>
# PBE-GGA LaAg2I, optimized geometry
data_LaAg2I
_space_group_name_H-M_alt 'P 1'
_space_group_IT_number 1
_cell_length_a 5.3671
_cell_length_b 5.3671
_cell_length_c 5.3671
_cell_angle_alpha 60.00
_cell_angle_beta 60.00
_cell_angle_gamma 60.00
loop_
_space_group_symop_operation_xyz
'x,y,z'
loop_
_atom_site_label
_atom_site_type_symbol
_atom_site_fract_x
_atom_site_fract_y
_atom_site_fract_z
La1 La 0.5000 0.5000 0.5000
I1 I 0.0000 0.0000 0.0000
Ag1 Ag 0.7500 0.7500 0.7500
Ag2 Ag 0.2500 0.2500 0.2500
# * D(E_F): 1.91 states/eV per cell

---

<b>
# PBE-GGA LaAg2I, optimized geometry
data_LaAg2I
_space_group_name_H-M_alt 'P 1'
_space_group_IT_number 1
_cell_length_a 8.7401
_cell_length_b 8.7401
_cell_length_c 6.9069
_cell_angle_alpha 50.75
_cell_angle_beta 50.75
_cell_angle_gamma 90.00
loop_
_space_group_symop_operation_xyz
'x,y,z'
loop_
_atom_site_label
_atom_site_type_symbol
_atom_site_fract_x
_atom_site_fract_y
_atom_site_fract_z
La1 La 0.0000 0.0000 0.0000
La2 La 0.7500 0.2500 0.5000
Ag1 Ag 0.3750 0.3805 0.7500
Ag2 Ag 0.6195 0.1250 0.2500
Ag3 Ag 0.8750 0.8695 0.7500
Ag4 Ag 0.1305 0.6250 0.2500
I1 I 0.5000 0.5000 0.0000
I2 I 0.2500 0.7500 0.5000
# * D(E_F): 0.42 states/eV per cell

---

Which of them is most stable? Easy: <b>.

---

<a>
# PBE-GGA LaAgI, optimized geometry
data_LaAgI
_space_group_name_H-M_alt 'P 1'
_space_group_IT_number 1
_cell_length_a 4.4889
_cell_length_b 4.8066
_cell_length_c 11.9385
_cell_angle_alpha 82.03
_cell_angle_beta 79.16
_cell_angle_gamma 62.16
loop_
_space_group_symop_operation_xyz
'x,y,z'
loop_
_atom_site_label
_atom_site_type_symbol
_atom_site_fract_x
_atom_site_fract_y
_atom_site_fract_z
Ag1 Ag 0.1588 0.1809 0.5014
Ag2 Ag 0.8412 0.8191 0.4986
I1 I 0.7226 0.7189 0.8359
I2 I 0.2774 0.2811 0.1641
La1 La 0.4720 0.3903 0.6658
La2 La 0.5280 0.6097 0.3342
# * D(E_F): 1.78 states/eV per cell

---

<b>
# PBE-GGA LaAgI, optimized geometry
data_LaAgI
_space_group_name_H-M_alt 'P 1'
_space_group_IT_number 1
_cell_length_a 4.5904
_cell_length_b 4.5904
_cell_length_c 12.2382
_cell_angle_alpha 94.71
_cell_angle_beta 94.71
_cell_angle_gamma 115.31
loop_
_space_group_symop_operation_xyz
'x,y,z'
loop_
_atom_site_label
_atom_site_type_symbol
_atom_site_fract_x
_atom_site_fract_y
_atom_site_fract_z
I1 I 0.6883 0.6883 0.3361
I2 I 0.3117 0.3117 0.6639
La1 La 0.1181 0.1181 0.1608
La2 La 0.8819 0.8819 0.8392
Ag1 Ag 0.3238 0.6762 0.0000
Ag2 Ag 0.6762 0.3238 0.0000
# * D(E_F): 2.21 states/eV per cell

---

Which of them is most stable? Easy: <a>.

---

<a>
# PBE-GGA LaAg3I, optimized geometry
data_LaAg3I
_space_group_name_H-M_alt 'P 1'
_space_group_IT_number 1
_cell_length_a 5.3870
_cell_length_b 5.3870
_cell_length_c 5.3870
_cell_angle_alpha 90.00
_cell_angle_beta 90.00
_cell_angle_gamma 90.00
loop_
_space_group_symop_operation_xyz
'x,y,z'
loop_
_atom_site_label
_atom_site_type_symbol
_atom_site_fract_x
_atom_site_fract_y
_atom_site_fract_z
Ag1 Ag 0.0000 0.0000 0.5000
Ag2 Ag 0.5000 0.0000 0.0000
Ag3 Ag 0.0000 0.5000 0.0000
La1 La 0.5000 0.5000 0.5000
I1 I 0.0000 0.0000 0.0000
# * D(E_F): 5.15 states/eV per cell

---

<b>
# PBE-GGA LaAg3I, optimized geometry
data_LaAg3I
_space_group_name_H-M_alt 'P 1'
_space_group_IT_number 1
_cell_length_a 5.8400
_cell_length_b 5.8400
_cell_length_c 5.8400
_cell_angle_alpha 90.00
_cell_angle_beta 90.00
_cell_angle_gamma 90.00
loop_
_space_group_symop_operation_xyz
'x,y,z'
loop_
_atom_site_label
_atom_site_type_symbol
_atom_site_fract_x
_atom_site_fract_y
_atom_site_fract_z
I1 I 0.5000 0.5000 0.5000
Ag1 Ag 0.0000 0.5000 0.0000
Ag2 Ag 0.0000 0.0000 0.5000
Ag3 Ag 0.5000 0.0000 0.0000
La1 La 0.0000 0.0000 0.0000
# * D(E_F): 5.17 states/eV per cell

---

Which of them is most stable? Easy: <a>.